No. 1
16
Lattice="-3.4571 2.9641 2.7244 3.2629 -2.1768 6.5088 6.6380 8.2610 -0.5649" Properties=species:S:1:pos:R:3 comment="Pr4MgGa3 | the Alexandria database | PBE | optimized geometry" formation_enthalpy_0k_ev_per_atom=-0.430 space_group=P4/mmm dos_ef_per_ev_cell=14.56 pbc="T T T"
Ga 4.8803 6.5904 4.1938
Pr 0.6745 3.3800 7.5113
Pr 5.7693 5.6684 1.1570
Pr -0.9366 0.9537 2.9420
Ga 3.3190 4.1305 -0.2824
Pr -1.0045 4.5001 4.1620
Ga 0.0000 0.0000 0.0000
Ga 1.5635 2.4580 4.4745
Ga 3.2479 7.6796 0.9401
Pr 4.0614 3.9642 6.0088
Mg 4.9504 3.0421 2.9720
Pr 2.3824 5.0843 2.6595
Pr 0.7424 -0.1664 6.2912
Ga -0.0670 3.5456 1.2193
Pr 7.4483 4.5483 4.5063
Mg 1.6315 -1.0884 3.2544

No. 2
4
Lattice="-2.2058 -1.8615 2.0589 -2.4959 1.6678 1.8864 -3.4142 -0.3246 -0.8987" Properties=species:S:1:pos:R:3 comment="LiMnN2 | the Alexandria database | PBE | optimized geometry" polymorph_energy_ev_per_atom=0.651 space_group=Fm-3m formation_energy_uncorrected_mev_per_atom=307.0 dos_ef_per_ev_cell=0.92 pbc="T T T"
N -2.0290 -0.1296 0.7617
N -6.0869 -0.3887 2.2850
Mn -4.0580 -0.2591 1.5233
Li 0.0000 0.0000 0.0000

No. 3
4
Lattice="3.3590 0.0000 0.0000 1.6795 2.9090 0.0000 1.6795 0.9697 12.0449" Properties=species:S:1:pos:R:3 comment="Dy2PuMg | the Alexandria database | PBE | optimized geometry" polymorph_energy_ev_per_atom=0.238 formation_enthalpy_0k_ev_per_atom=0.291 space_group=R-3m dos_ef_per_ev_cell=11.73 pbc="T T T"
Mg 3.3590 1.9393 6.0224
Dy 1.6795 0.9697 8.7537
Pu 0.0000 0.0000 0.0000
Dy 5.0385 2.9090 3.2912

No. 4
4
Lattice="-5.4267 -1.9237 -7.2143 -7.0999 -2.7713 -5.2064 -7.0645 -0.1233 -5.9392" Properties=species:S:1:pos:R:3 comment="FeOsW2 | the Alexandria database | PBE | optimized geometry" polymorph_energy_ev_per_atom=0.184 formation_enthalpy_0k_ev_per_atom=0.294 space_group=R3m dos_ef_per_ev_cell=4.18 pbc="T T T"
W -0.0732 -0.0180 -0.0686
Fe -9.7464 -2.3971 -9.1340
W -4.8118 -1.1834 -4.5094
Os -14.7552 -3.6289 -13.8280

Respective density values: 6.2 4.7 8.4 17.1 Mg/m³.